Below is a geometry-optimized KAgGeS3 structure, with properties calculated at the PBE-GGA level.

Cell lengths 6.664, 6.664, 8.845 Å; angles 77.55, 77.55, 83.10 degrees
Element x y z (fractional)
S 0.687 0.687 0.424
S 0.186 0.773 0.781
S 0.773 0.186 0.781
S 0.313 0.313 0.576
Ag 0.739 0.261 0.500
Ag 0.261 0.739 0.500
K 0.700 0.700 0.780
Ge 0.096 0.096 0.709
S 0.814 0.227 0.219
S 0.227 0.814 0.219
Ge 0.904 0.904 0.291
K 0.300 0.300 0.220

Results
crystal system: monoclinic
electronic total energy: -47.64 eV per cell
total moment: 0.0 μB/cell
formation energy without anion corrections: -0.48 eV/atom
mass density: 2.808 Mg/m³
volume: 373.5 Å³ per cell

Below is a geometry-optimized PuPaTl2Se4 structure, with properties calculated at the PBE-GGA level.

Cell lengths 4.203, 7.315, 8.192 Å; angles 107.06, 90.00, 90.00 degrees
Each line ends with the local moment (μB).
Element x y z (fractional)
Tl 0.000 0.500 0.500  0.01
Se 0.000 0.728 0.205  -0.04
Tl 0.500 0.000 0.500  0.01
Pa 0.500 0.500 0.000  1.21
Pu 0.000 0.000 0.000  5.40
Se 0.000 0.272 0.795  -0.04
Se 0.500 0.756 0.796  -0.06
Se 0.500 0.244 0.204  -0.06

Results
crystal system: monoclinic
electronic total energy: -51.06 eV per cell
total moment: 7.0 μB/cell
formation energy without anion corrections: -1.07 eV/atom
mass density: 8.274 Mg/m³
volume: 240.8 Å³ per cell

Below is a geometry-optimized ThAg2Br8 structure, with properties calculated at the PBE-GGA level.

Cell lengths 7.094, 8.389, 8.389 Å; angles 93.85, 74.46, 74.46 degrees
Element x y z (fractional)
Br 0.811 0.082 0.744
Ag 0.371 0.148 0.148
Br 0.657 0.244 0.244
Br 0.343 0.756 0.756
Ag 0.629 0.852 0.852
Br 0.825 0.569 0.569
Br 0.189 0.256 0.918
Br 0.189 0.918 0.256
Br 0.175 0.431 0.431
Br 0.811 0.744 0.082
Th 0.000 0.000 0.000

Results
crystal system: monoclinic
electronic total energy: -36.31 eV per cell
total moment: 0.0 μB/cell
formation energy without anion corrections: -0.89 eV/atom
mass density: 3.939 Mg/m³
volume: 458.2 Å³ per cell